No. 1
VASP calculation (PBE) on crystalline Lu2CoRh at its relaxed geometry.

POSCAR file:
```
Lu2CoRh
1.0
0.000 3.309 3.309
3.309 0.000 3.309
3.309 3.309 0.000
Lu Co Rh
2 1 1
direct
0.250 0.250 0.250
0.750 0.750 0.750
0.000 0.000 0.000
0.500 0.500 0.500
```

**Volume**: 72.46 Å³/cell
**SG**: Fm-3m (225)
**D(E_F)**: 2.5 states/eV/cell
**Crystal system**: cubic
**ΔH_f (0 K)**: -620 meV/atom


No. 2
VASP calculation (PBE) on crystalline Lu2CoRh at its relaxed geometry.

POSCAR file:
```
Lu2CoRh
1.0
3.288 0.000 0.000
0.000 3.288 0.000
0.000 0.000 6.697
Lu Co Rh
2 1 1
direct
0.000 0.000 0.242
0.000 0.000 0.758
0.500 0.500 0.000
0.500 0.500 0.500
```

**Volume**: 72.40 Å³/cell
**SG**: P4/mmm (123)
**D(E_F)**: 0.9 states/eV/cell
**Crystal system**: tetragonal
**ΔH_f (0 K)**: -641 meV/atom


No. 3
VASP calculation (PBE) on crystalline LuCoSbRh at its relaxed geometry.

POSCAR file:
```
LuCoSbRh
1.0
0.000 3.247 3.247
3.247 0.000 3.247
3.247 3.247 0.000
Lu Co Sb Rh
1 1 1 1
direct
0.000 0.000 0.000
0.750 0.750 0.750
0.500 0.500 0.500
0.250 0.250 0.250
```

**Volume**: 68.50 Å³/cell
**SG**: F-43m (216)
**Formation energy without anion corrections**: -2.12 eV/f.u.
**D(E_F)**: 3.1 states/eV/cell
**Crystal system**: cubic


> What is the formula in the first record?

Lu2CoRh


Please write out number 1 again, unchanged.
VASP calculation (PBE) on crystalline Lu2CoRh at its relaxed geometry.

POSCAR file:
```
Lu2CoRh
1.0
0.000 3.309 3.309
3.309 0.000 3.309
3.309 3.309 0.000
Lu Co Rh
2 1 1
direct
0.250 0.250 0.250
0.750 0.750 0.750
0.000 0.000 0.000
0.500 0.500 0.500
```

**Volume**: 72.46 Å³/cell
**SG**: Fm-3m (225)
**D(E_F)**: 2.5 states/eV/cell
**Crystal system**: cubic
**ΔH_f (0 K)**: -620 meV/atom


> The lowest D(E_F) belongs to which entry?

number 2


> volume of number 3 (LuCoSbRh)?

68.50 Å³/cell